1.
Density functional theory data (GGA-PBE) for Rb2TeAs after structural relaxation.

a = 12.9728 Å, b = 12.9728 Å, c = 9.6029 Å
α = 47.51°, β = 47.51°, γ = 90.00°
With the nearest neighbours (Å) after each atom.
Element x y z (fractional)
Rb (0.3385, 0.6250, 0.2500)  2 As 3.35
Rb (0.4115, 0.1250, 0.2500)  2 As 3.35
Rb (0.3750, 0.5885, 0.7500)  2 As 3.35
Rb (0.8750, 0.6615, 0.7500)  2 As 3.35
Te (0.0000, 0.0000, 0.0000)  2 As 2.84
Te (0.7500, 0.2500, 0.5000)  2 As 2.84
As (0.2500, 0.7500, 0.5000)  2 Te 2.84
As (0.5000, 0.5000, 0.0000)  2 Te 2.84

Computed properties:
The calculation puts the formation energy without anion corrections at -30.8 kJ/mol of atoms. For the offset from the most stable computed form, the calculation gives 0 kJ/mol of formula units.

***

2.
Density functional theory data (GGA-PBE) for Rb7Te6As after structural relaxation.

a = 9.1840 Å, b = 13.4504 Å, c = 13.4504 Å
α = 79.25°, β = 70.04°, γ = 70.04°
With the nearest neighbours (Å) after each atom.
Element x y z (fractional)
Rb (0.2274, 0.4812, 0.5188)  4 Te 3.55-3.59
Rb (0.7500, 0.7500, 0.7500)  4 Te 3.69
Rb (0.7162, 0.9119, 0.3345)  4 Te 3.63-3.85
Rb (0.0374, 0.3345, 0.9119)  4 Te 3.63-3.85
Rb (0.9626, 0.6655, 0.0881)  4 Te 3.63-3.85
Rb (0.2162, 0.8345, 0.4119)  4 Te 3.63-3.85
Rb (0.4626, 0.5881, 0.1655)  4 Te 3.63-3.85
Rb (0.7838, 0.1655, 0.5881)  4 Te 3.63-3.85
Rb (0.5374, 0.4119, 0.8345)  4 Te 3.63-3.85
Rb (0.2726, 0.9812, 0.0188)  4 Te 3.55-3.59
Rb (0.2838, 0.0881, 0.6655)  4 Te 3.63-3.85
Rb (0.7274, 0.0188, 0.9812)  4 Te 3.55-3.59
Rb (0.2500, 0.2500, 0.2500)  4 Te 3.69
Rb (0.7726, 0.5188, 0.4812)  4 Te 3.55-3.59
As (0.7500, 0.2500, 0.2500)  4 Te 2.62
As (0.2500, 0.7500, 0.7500)  4 Te 2.62
Te (0.9551, 0.3345, 0.6655)  6 Rb 3.55-3.64
Te (0.4551, 0.1655, 0.8345)  6 Rb 3.55-3.64
Te (0.4953, 0.7650, 0.5831)  1 As 2.62
Te (0.8434, 0.4169, 0.2350)  1 As 2.62
Te (0.0047, 0.9169, 0.7350)  1 As 2.62
Te (0.5449, 0.8345, 0.1655)  6 Rb 3.55-3.64
Te (0.5047, 0.2350, 0.4169)  1 As 2.62
Te (0.3434, 0.7350, 0.9169)  1 As 2.62
Te (0.9953, 0.0831, 0.2650)  1 As 2.62
Te (0.6566, 0.2650, 0.0831)  1 As 2.62
Te (0.1566, 0.5831, 0.7650)  1 As 2.62
Te (0.0449, 0.6655, 0.3345)  6 Rb 3.55-3.64

Computed properties:
The calculation puts the formation energy without anion corrections at -71.2 kJ/mol of atoms.

***

3.
Density functional theory data (GGA-PBE) for Rb4Te4As after structural relaxation.

a = 9.4574 Å, b = 9.4574 Å, c = 9.4574 Å
α = 79.40°, β = 126.29°, γ = 126.29°
With the nearest neighbours (Å) after each atom.
Element x y z (fractional)
Te (0.0000, 0.0683, 0.7066)  1 As 2.73
Te (0.6383, 0.9317, 0.9317)  1 As 2.73
Te (0.3617, 0.2934, 0.2934)  1 As 2.73
Te (0.0000, 0.7066, 0.0683)  1 As 2.73
Rb (0.5000, 0.0000, 0.5000)  4 Te 3.54
Rb (0.5000, 0.5000, 0.0000)  4 Te 3.54
Rb (0.0000, 0.3047, 0.3047)  2 Te 3.55
Rb (0.0000, 0.6953, 0.6953)  2 Te 3.55
As (0.0000, 0.0000, 0.0000)  4 Te 2.73

Computed properties:
The calculation puts the formation energy without anion corrections at -60.5 kJ/mol of atoms. For the offset from the most stable computed form, the calculation gives 0 kJ/mol of formula units.

***

4.
Density functional theory data (GGA-PBE) for Rb8Te2As after structural relaxation.

a = 6.1642 Å, b = 8.4004 Å, c = 11.3533 Å
α = 111.71°, β = 105.73°, γ = 90.00°
With the nearest neighbours (Å) after each atom.
Element x y z (fractional)
Te (0.8052, 0.3051, 0.6103)  8 Rb 3.74-4.16
Te (0.1948, 0.6949, 0.3897)  8 Rb 3.74-4.16
Rb (0.2004, 0.2004, 0.4008)  2 Te 3.74, 6 Rb 3.93-4.05
Rb (0.6312, 0.8662, 0.2624)  1 As 3.46
Rb (0.3688, 0.6038, 0.7376)  1 As 3.46
Rb (0.6312, 0.3962, 0.2624)  1 As 3.46
Rb (0.0000, 0.2429, 0.0000)  2 As 3.70, 5 Rb 4.07-4.08
Rb (0.3688, 0.1338, 0.7376)  1 As 3.46
Rb (0.0000, 0.7571, 0.0000)  2 As 3.70, 5 Rb 4.07-4.08
Rb (0.7996, 0.7996, 0.5992)  2 Te 3.74, 6 Rb 3.93-4.05
As (0.5000, 0.0000, 0.0000)  8 Rb 3.46-3.70

Computed properties:
The calculation puts the formation energy without anion corrections at -55.0 kJ/mol of atoms.

***

5.
Density functional theory data (GGA-PBE) for Rb2Te3As2 after structural relaxation.

a = 4.1627 Å, b = 8.2720 Å, c = 9.1244 Å
α = 112.02°, β = 62.85°, γ = 104.47°
With the nearest neighbours (Å) after each atom.
Element x y z (fractional)
As (0.2734, 0.7599, 0.1034)  2 Te 2.76-2.78
As (0.7266, 0.2401, 0.8966)  2 Te 2.76-2.78
Te (0.0000, 0.0000, 0.0000)  4 As 3.11-3.13
Te (0.4244, 0.3989, 0.7748)  2 As 2.76-2.78
Te (0.5756, 0.6011, 0.2252)  2 As 2.76-2.78
Rb (0.2336, 0.2093, 0.3707)  2 As 3.60-3.93, 5 Te 3.62-3.79
Rb (0.7664, 0.7907, 0.6293)  2 As 3.60-3.93, 5 Te 3.62-3.79

Computed properties:
The calculation puts the formation energy without anion corrections at -32.3 kJ/mol of atoms.

***

6.
Density functional theory data (GGA-PBE) for RbTe4As2 after structural relaxation.

a = 4.0617 Å, b = 7.0434 Å, c = 16.8005 Å
α = 90.00°, β = 90.00°, γ = 106.76°
With the nearest neighbours (Å) after each atom.
Element x y z (fractional)
Te (0.7892, 0.5784, 0.0933)  3 As 2.76-2.84
Te (0.8486, 0.6972, 0.7500)  2 As 3.14
Te (0.2108, 0.4216, 0.5933)  3 As 2.76-2.84
Te (0.5000, 0.0000, 0.0000)  4 As 3.03
Te (0.7892, 0.5784, 0.4067)  3 As 2.76-2.84
Te (0.2108, 0.4216, 0.9067)  3 As 2.76-2.84
Te (0.1514, 0.3028, 0.2500)  2 As 3.14
Te (0.5000, 0.0000, 0.5000)  4 As 3.03
As (0.1473, 0.2946, 0.0630)  5 Te 2.76-3.03
As (0.8527, 0.7054, 0.9370)  5 Te 2.76-3.03
As (0.1473, 0.2946, 0.4370)  5 Te 2.76-3.03
As (0.8527, 0.7054, 0.5630)  5 Te 2.76-3.03
Rb (0.5725, 0.1450, 0.7500)  7 Te 3.64-3.81, 2 Rb 4.06
Rb (0.4275, 0.8550, 0.2500)  7 Te 3.64-3.81, 2 Rb 4.06

Computed properties:
The calculation puts the formation energy without anion corrections at -14.8 kJ/mol of atoms. For the offset from the most stable computed form, the calculation gives 13 kJ/mol of formula units.

***

7.
Density functional theory data (GGA-PBE) for RbTe4As after structural relaxation.

a = 6.3937 Å, b = 8.6008 Å, c = 9.8082 Å
α = 116.01°, β = 100.44°, γ = 90.00°
With the nearest neighbours (Å) after each atom.
Element x y z (fractional)
Rb (0.7707, 0.8165, 0.6330)  6 Te 3.61-3.97
Rb (0.2293, 0.1835, 0.3670)  6 Te 3.61-3.97
Te (0.3882, 0.6804, 0.8470)  2 Te 2.79-3.06, 1 As 3.03
Te (0.3882, 0.1666, 0.8470)  2 Te 2.79-3.06, 1 As 3.03
Te (0.6118, 0.8334, 0.1530)  2 Te 2.79-3.06, 1 As 3.03
Te (0.7824, 0.2823, 0.5647)  1 As 2.56
Te (0.0000, 0.2581, 0.0000)  2 As 2.95, 2 Te 3.06
Te (0.6118, 0.3196, 0.1530)  2 Te 2.79-3.06, 1 As 3.03
Te (0.0000, 0.7419, 0.0000)  2 As 2.95, 2 Te 3.06
Te (0.2176, 0.7177, 0.4353)  1 As 2.56
As (0.2900, 0.5803, 0.1605)  1 Te 2.56
As (0.7100, 0.4197, 0.8395)  1 Te 2.56

Computed properties:
The calculation puts the formation energy without anion corrections at -20.3 kJ/mol of atoms.

***

8.
Density functional theory data (GGA-PBE) for Rb3Te4As2 after structural relaxation.

a = 9.5907 Å, b = 9.8372 Å, c = 9.8932 Å
α = 119.81°, β = 91.49°, γ = 90.00°
With the nearest neighbours (Å) after each atom.
Element x y z (fractional)
Te (0.9829, 0.1509, 0.8604)  1 As 2.58
Te (0.6661, 0.2612, 0.5771)  1 As 2.64
Te (0.1661, 0.3159, 0.5771)  1 As 2.64
Te (0.4829, 0.7096, 0.8604)  1 As 2.58
Te (0.8339, 0.6841, 0.4229)  1 As 2.64
Te (0.3339, 0.7388, 0.4229)  1 As 2.64
Te (0.0171, 0.8491, 0.1396)  1 As 2.58
Te (0.5171, 0.2904, 0.1396)  1 As 2.58
As (0.9645, 0.1430, 0.5955)  2 Te 2.58-2.64, 1 As 2.59
As (0.0355, 0.8570, 0.4045)  2 Te 2.58-2.64, 1 As 2.59
As (0.5355, 0.5475, 0.4045)  2 Te 2.58-2.64, 1 As 2.59
As (0.4645, 0.4525, 0.5955)  2 Te 2.58-2.64, 1 As 2.59
Rb (0.6117, 0.9851, 0.7297)  6 Te 3.73-3.83, 1 As 3.94
Rb (0.2500, 0.4750, 0.0000)  6 Te 3.73-3.94
Rb (0.1117, 0.7446, 0.7297)  6 Te 3.73-3.83, 1 As 3.94
Rb (0.8883, 0.2554, 0.2703)  6 Te 3.73-3.83, 1 As 3.94
Rb (0.3883, 0.0149, 0.2703)  6 Te 3.73-3.83, 1 As 3.94
Rb (0.7500, 0.5250, 0.0000)  6 Te 3.73-3.94

Computed properties:
The calculation puts the formation energy without anion corrections at -54.2 kJ/mol of atoms. For the offset from the most stable computed form, the calculation gives 0 kJ/mol of formula units.

***

D(E_F) for the records above, in order: 4.59; 4.28; 5.75; 2.23; 0.96; 4.31; 0.05; 3.28 states/eV/f.u.